## GePt3 (PBE)

Data for a relaxed structure of GePt3.

```
8
Lattice="-2.2934 -1.3303 -2.9837 2.9763 -2.1847 -1.3136 -1.3855 -5.6472 6.2527" Properties=species:S:1:pos:R:3 pbc="T T T"
Ge 1.4184 -3.6673 0.5449
Ge -2.1210 -5.4949 1.4105
Pt -1.1113 -7.7802 1.6534
Pt 0.4087 -1.3821 0.3021
Pt 0.7744 -3.0794 -1.8920
Pt -1.4769 -6.0828 3.8474
Pt 0.6893 -5.4848 1.9157
Pt -1.3919 -3.6774 0.0397
```

Values from the calculation:
Magnetization   0.0 μB/f.u.
Formation enthalpy at 0 K   -0.25 eV per atom
V   129.9 Å³ per cell